This record from the Open Quantum Materials Database describes crystalline FeCuSnS3 at its relaxed geometry. The functional is PBE.

Cell: 6.688 6.688 9.093 Å, 90.00 90.00 149.00°
Atoms (fractional coordinates):
Fe: 0.000 0.000 0.000
Fe: 0.000 0.000 0.500
Cu: 0.472 0.528 0.750
Cu: 0.528 0.472 0.250
Sn: 0.243 0.757 0.250
Sn: 0.757 0.243 0.750
S: 0.081 0.919 0.750
S: 0.366 0.634 0.552
S: 0.366 0.634 0.948
S: 0.634 0.366 0.052
S: 0.634 0.366 0.448
S: 0.919 0.081 0.250

Symmetry = Cmcm (63)
Raw total energy = -0.1808 Ha/atom

---

This record from the Open Quantum Materials Database describes crystalline Ac3IrSe2 at its relaxed geometry. The functional is PBE.

Cell: 7.943 7.943 7.943 Å, 148.49 133.27 57.46°
Atoms (fractional coordinates):
Ac: 0.000 0.000 0.000
Ac: 0.353 0.353 0.000
Ac: 0.647 0.647 0.000
Ir: 0.500 0.000 0.500
Se: 0.173 0.673 0.500
Se: 0.827 0.327 0.500

Symmetry = Immm (71)
Raw total energy = -0.2268 Ha/atom

---

This record from the Open Quantum Materials Database describes crystalline B2Mo3As at its relaxed geometry. The functional is PBE.

Cell: 3.202 3.202 17.383 Å, 90.00 90.00 120.00°
Atoms (fractional coordinates):
B: 0.333 0.667 0.074
B: 0.333 0.667 0.426
B: 0.667 0.333 0.574
B: 0.667 0.333 0.926
Mo: 0.000 0.000 0.000
Mo: 0.000 0.000 0.500
Mo: 0.333 0.667 0.642
Mo: 0.333 0.667 0.858
Mo: 0.667 0.333 0.142
Mo: 0.667 0.333 0.358
As: 0.000 0.000 0.250
As: 0.000 0.000 0.750

Symmetry = P6_3/mmc (194)
Raw total energy = -0.3185 Ha/atom